DFT (PBE) results for crystalline TaCo2Ru at its relaxed geometry.

abc: 3.631 3.631 9.191
angles: 78.61 78.61 90.00
Sites, in units of the cell vectors:
Ru 0.500 0.500 0.000
Ru 0.250 0.750 0.500
Co 0.613 0.125 0.250
Co 0.137 0.625 0.250
Co 0.375 0.387 0.750
Co 0.875 0.863 0.750
Ta 0.000 0.000 0.000
Ta 0.750 0.250 0.500

Calculated values
- Excess energy over the best structure of this formula in the dataset: 630.5 meV/atom
- Energy: -8.420 eV per atom
- Formation energy from the elements: 0.41 eV per atom
- SG: I-42d, No. 122



DFT (PBE) results for crystalline AlTl2Cr at its relaxed geometry.

abc: 9.425 9.425 9.425
angles: 20.55 20.55 20.55
Sites, in units of the cell vectors:
Cr 0.750 0.750 0.750
Tl 0.003 0.003 0.003
Tl 0.497 0.497 0.497
Al 0.250 0.250 0.250

Calculated values
- Excess energy over the best structure of this formula in the dataset: 190.1 meV/atom
- Energy: -4.019 eV per atom
- Formation energy from the elements: 0.51 eV per atom
- SG: R-3m, No. 166



DFT (PBE) results for crystalline NaNiSn at its relaxed geometry.

abc: 3.472 4.496 4.496
angles: 120.00 90.00 90.00
Sites, in units of the cell vectors:
Ni 0.166 0.667 0.333
Sn 0.167 0.000 0.000
Na 0.667 0.333 0.667

Calculated values
- Energy: -3.635 eV per atom
- Formation energy from the elements: 0.07 eV per atom
- SG: P-6m2, No. 187



DFT (PBE) results for crystalline TiAl at its relaxed geometry.

abc: 3.183 3.183 3.183
angles: 90.00 90.00 90.00
Sites, in units of the cell vectors:
Al 0.000 0.000 0.000
Ti 0.500 0.500 0.500

Calculated values
- Energy: -6.086 eV per atom
- Formation energy from the elements: -0.27 eV per atom
- SG: Pm-3m, No. 221



DFT (PBE) results for crystalline CuSi2OsAu at its relaxed geometry.

abc: 4.279 4.698 4.279
angles: 90.00 90.00 90.00
Sites, in units of the cell vectors:
Os 0.500 0.500 0.500
Si 0.000 0.000 0.500
Si 0.500 0.000 0.000
Au 0.000 0.500 0.000
Cu 0.000 0.000 0.000

Calculated values
- Energy: -4.613 eV per atom
- SG: P4/mmm, No. 123
- Formation energy (no corrections): 1.277 eV/atom



DFT (PBE) results for crystalline Sb2HS at its relaxed geometry.

abc: 4.756 4.756 4.756
angles: 60.00 60.00 60.00
Sites, in units of the cell vectors:
Sb 0.250 0.250 0.250
Sb 0.750 0.750 0.750
S 0.500 0.500 0.500
H 0.000 0.000 0.000

Calculated values
- Excess energy over the best structure of this formula in the dataset: 152.4 meV/atom
- Energy: -3.347 eV per atom
- SG: Fm-3m, No. 225



DFT (PBE) results for crystalline Rb2CeCdI6 at its relaxed geometry.

abc: 9.064 8.872 12.711
angles: 90.00 90.00 90.00
Sites, in units of the cell vectors:
Rb 0.500 0.786 0.200
Rb 0.000 0.214 0.700
Rb 0.500 0.786 0.800
Rb 0.000 0.214 0.300
Ce 0.000 0.738 0.500
Ce 0.500 0.262 0.000
Cd 0.500 0.247 0.500
Cd 0.000 0.753 0.000
I 0.500 0.237 0.246
I 0.500 0.237 0.754
I 0.000 0.763 0.254
I 0.000 0.763 0.746
I 0.245 0.987 0.500
I 0.755 0.987 0.500
I 0.231 0.477 0.500
I 0.769 0.477 0.500
I 0.731 0.523 0.000
I 0.269 0.523 0.000
I 0.255 0.013 0.000
I 0.745 0.013 0.000

Calculated values
- Energy: -2.939 eV per atom
- SG: Pmmn, No. 59
- Formation energy (no corrections): -1.130 eV/atom



DFT (PBE) results for crystalline TaCd at its relaxed geometry.

abc: 2.914 2.914 9.575
angles: 90.00 90.00 105.66
Sites, in units of the cell vectors:
Cd 0.000 0.000 0.007
Cd 0.500 0.500 0.743
Ta 0.000 0.000 0.489
Ta 0.500 0.500 0.261

Calculated values
- Energy: -6.263 eV per atom
- Formation energy from the elements: 0.12 eV per atom
- SG: Cmme, No. 67



DFT (PBE) results for crystalline Tb6NdAl2 at its relaxed geometry.

abc: 4.790 4.790 14.284
angles: 99.65 99.65 90.00
Sites, in units of the cell vectors:
Tb 0.852 0.355 0.206
Tb 0.645 0.645 0.794
Tb 0.355 0.852 0.206
Tb 0.148 0.148 0.794
Tb 0.750 0.250 0.500
Tb 0.250 0.750 0.500
Nd 0.500 0.500 0.000
Al 0.186 0.186 0.371
Al 0.814 0.814 0.629

Calculated values
- Excess energy over the best structure of this formula in the dataset: 636.0 meV/atom
- Energy: -3.968 eV per atom
- Formation energy from the elements: 0.48 eV per atom
- SG: I-42m, No. 121



DFT (PBE) results for crystalline AcPm15Pr4 at its relaxed geometry.

abc: 5.210 5.210 25.974
angles: 90.00 90.00 90.00
Sites, in units of the cell vectors:
Ac 0.000 0.000 0.000
Pm 0.500 0.500 0.000
Pm 0.500 0.500 0.202
Pm 0.500 0.500 0.401
Pm 0.500 0.500 0.599
Pm 0.500 0.500 0.798
Pm 0.500 0.000 0.103
Pm 0.500 0.000 0.301
Pm 0.500 0.000 0.500
Pm 0.500 0.000 0.699
Pm 0.500 0.000 0.897
Pm 0.000 0.500 0.103
Pm 0.000 0.500 0.301
Pm 0.000 0.500 0.500
Pm 0.000 0.500 0.699
Pm 0.000 0.500 0.897
Pr 0.000 0.000 0.202
Pr 0.000 0.000 0.401
Pr 0.000 0.000 0.599
Pr 0.000 0.000 0.798

Calculated values
- Energy: -4.706 eV per atom
- Formation energy from the elements: 0.02 eV per atom
- SG: P4/mmm, No. 123



DFT (PBE) results for crystalline Li8HgAu2 at its relaxed geometry.

abc: 4.360 6.766 7.566
angles: 116.56 106.75 90.00
Sites, in units of the cell vectors:
Li 0.657 0.874 0.313
Li 0.343 0.560 0.687
Li 0.157 0.157 0.314
Li 0.000 0.306 0.000
Li 0.843 0.843 0.686
Li 0.657 0.440 0.313
Li 0.343 0.126 0.687
Li 0.000 0.694 0.000
Hg 0.500 0.000 0.000
Au 0.191 0.691 0.382
Au 0.809 0.309 0.618

Calculated values
- Excess energy over the best structure of this formula in the dataset: 0.0 meV/atom
- Energy: -2.369 eV per atom
- Formation energy from the elements: -0.35 eV per atom
- SG: Immm, No. 71



DFT (PBE) results for crystalline AlSiBr2 at its relaxed geometry.

abc: 3.588 6.098 6.284
angles: 43.77 90.00 90.00
Sites, in units of the cell vectors:
Si 0.500 0.500 0.500
Al 0.000 0.000 0.500
Br 0.000 0.000 0.000
Br 0.500 0.500 0.000

Calculated values
- Excess energy over the best structure of this formula in the dataset: 587.4 meV/atom
- Energy: -2.876 eV per atom
- SG: P2/m, No. 10
- Formation energy (no corrections): 0.251 eV/atom